1.
# Pu3Mg4

An optimized crystal structure of Pu3Mg4 (PBE, OQMD via LeMat-Bulk).

Properties
energy: -6.8288 eV per atom
size of the total moment: 36.375 μB/cell

a = 8.763 Å, b = 8.763 Å, c = 5.262 Å
α = 90.00°, β = 90.00°, γ = 120.00°
Fractional coordinates of all 14 atoms:
Pu  0.095  0.493  0.250
Pu  0.398  0.905  0.250
Pu  0.493  0.398  0.750
Pu  0.507  0.602  0.250
Pu  0.602  0.095  0.750
Pu  0.905  0.507  0.750
Mg  0.061  0.238  0.750
Mg  0.176  0.939  0.750
Mg  0.238  0.176  0.250
Mg  0.333  0.667  0.750
Mg  0.667  0.333  0.250
Mg  0.762  0.824  0.750
Mg  0.824  0.061  0.250
Mg  0.939  0.762  0.250

2.
# PuMg

An optimized crystal structure of PuMg (PBE, OQMD via LeMat-Bulk).

Properties
energy: -7.7490 eV per atom
size of the total moment: 5.845 μB/cell

a = 3.200 Å, b = 3.200 Å, c = 5.708 Å
α = 90.00°, β = 90.00°, γ = 120.00°
Fractional coordinates of all 2 atoms:
Pu  0.000  0.000  0.000
Mg  0.333  0.667  0.500

3.
# PuMg

An optimized crystal structure of PuMg (PBE, OQMD via LeMat-Bulk).

Properties
energy: -7.7304 eV per atom
size of the total moment: 48.447 μB/cell

a = 5.310 Å, b = 7.007 Å, c = 10.917 Å
α = 90.00°, β = 90.00°, γ = 90.00°
Fractional coordinates of all 16 atoms:
Pu  0.250  0.008  0.103
Pu  0.250  0.492  0.103
Pu  0.250  0.750  0.345
Pu  0.250  0.750  0.853
Pu  0.750  0.250  0.147
Pu  0.750  0.250  0.655
Pu  0.750  0.508  0.897
Pu  0.750  0.992  0.897
Mg  0.250  0.250  0.370
Mg  0.250  0.250  0.841
Mg  0.250  0.508  0.600
Mg  0.250  0.992  0.600
Mg  0.750  0.008  0.400
Mg  0.750  0.492  0.400
Mg  0.750  0.750  0.159
Mg  0.750  0.750  0.630

4.
# PuMg

An optimized crystal structure of PuMg (PBE, OQMD via LeMat-Bulk).

Properties
energy: -7.7317 eV per atom
size of the total moment: 35.784 μB/cell

a = 6.484 Å, b = 5.353 Å, c = 8.934 Å
α = 90.00°, β = 100.08°, γ = 90.00°
Fractional coordinates of all 12 atoms:
Pu  0.000  0.000  0.000
Pu  0.064  0.500  0.223
Pu  0.229  0.500  0.891
Pu  0.335  0.000  0.325
Pu  0.730  0.500  0.898
Pu  0.834  0.000  0.330
Mg  0.164  0.000  0.664
Mg  0.395  0.500  0.553
Mg  0.501  0.000  0.998
Mg  0.563  0.500  0.223
Mg  0.655  0.000  0.671
Mg  0.883  0.500  0.556

5.
# PuMg

An optimized crystal structure of PuMg (PBE, OQMD via LeMat-Bulk).

Properties
energy: -7.5938 eV per atom
size of the total moment: 20.413 μB/cell

a = 6.013 Å, b = 4.789 Å, c = 8.358 Å
α = 90.00°, β = 111.08°, γ = 90.00°
Fractional coordinates of all 10 atoms:
Pu  0.000  0.000  0.000
Pu  0.029  0.500  0.369
Pu  0.248  0.500  0.816
Pu  0.542  0.000  0.840
Pu  0.904  0.500  0.045
Mg  0.362  0.000  0.419
Mg  0.445  0.500  0.214
Mg  0.655  0.500  0.622
Mg  0.694  0.000  0.222
Mg  0.936  0.000  0.600

6.
# PuMg

An optimized crystal structure of PuMg (PBE, OQMD via LeMat-Bulk).

Properties
energy: -7.0871 eV per atom
size of the total moment: 6.751 μB/cell

a = 4.497 Å, b = 4.497 Å, c = 4.497 Å
α = 60.00°, β = 60.00°, γ = 60.00°
Fractional coordinates of all 2 atoms:
Pu  0.000  0.000  0.000
Mg  0.500  0.500  0.500

7.
# Pu3Mg4

An optimized crystal structure of Pu3Mg4 (PBE, OQMD via LeMat-Bulk).

Properties
energy: -6.8510 eV per atom
size of the total moment: 35.838 μB/cell

a = 8.849 Å, b = 5.203 Å, c = 8.852 Å
α = 90.00°, β = 119.95°, γ = 90.00°
Fractional coordinates of all 14 atoms:
Pu  0.053  0.250  0.238
Pu  0.186  0.250  0.947
Pu  0.239  0.750  0.186
Pu  0.761  0.250  0.814
Pu  0.814  0.750  0.053
Pu  0.947  0.750  0.762
Mg  0.100  0.750  0.491
Mg  0.333  0.250  0.666
Mg  0.390  0.750  0.900
Mg  0.490  0.250  0.390
Mg  0.510  0.750  0.610
Mg  0.610  0.250  0.100
Mg  0.667  0.750  0.334
Mg  0.900  0.250  0.509

8.
# PuMg2

An optimized crystal structure of PuMg2 (PBE, OQMD via LeMat-Bulk).

Properties
energy: -5.6532 eV per atom
size of the total moment: 24.283 μB/cell

a = 5.184 Å, b = 9.705 Å, c = 5.933 Å
α = 90.00°, β = 90.00°, γ = 90.00°
Fractional coordinates of all 12 atoms:
Pu  0.250  0.250  0.122
Pu  0.250  0.750  0.623
Pu  0.750  0.250  0.377
Pu  0.750  0.750  0.878
Mg  0.250  0.084  0.611
Mg  0.250  0.416  0.611
Mg  0.250  0.584  0.112
Mg  0.250  0.916  0.112
Mg  0.750  0.084  0.888
Mg  0.750  0.416  0.888
Mg  0.750  0.584  0.389
Mg  0.750  0.916  0.389